Below is crystalline Ac2TbSn4Pt3 at its relaxed geometry, with properties calculated at the PBE level.

SG = P-4m2 (115)
Energy of formation from the pure elements = -860 meV per atom

Cell and atoms, written as POSCAR:
```
Ac2TbSn4Pt3
1.0
4.588 0.000 0.000
0.000 4.588 0.000
0.000 0.000 12.201
Sn Pt Ac Tb
4 3 2 1
Direct
0.000 0.500 0.343
0.500 0.500 0.000
0.000 0.000 0.000
0.500 0.000 0.657
0.000 0.500 0.123
0.000 0.000 0.500
0.500 0.000 0.877
0.000 0.500 0.766
0.500 0.000 0.234
0.500 0.500 0.500
```